Record 1
Below is a relaxed structure of Cs2BiBr2Cl4, with properties calculated at the GGA-PBE level.

Properties
E_form (uncorrected) = -11.6 eV per formula unit
total magnetic moment = 0.00 μB per cell
DFT total energy = -3.10 eV per atom

Structure (POSCAR):
```
Cs2BiBr2Cl4
1.0
-3.958 3.958 5.321
3.958 -3.958 5.321
3.958 3.958 -5.321
Cs Bi Br Cl
2 1 2 4
Direct
0.250 0.750 0.500
0.750 0.250 0.500
0.000 0.000 0.000
0.261 0.261 0.000
0.739 0.739 0.000
0.236 0.236 0.473
0.236 0.764 0.000
0.764 0.236 0.000
0.764 0.764 0.527
```



Record 2
Below is a relaxed structure of LiTbNdZn, with properties calculated at the GGA-PBE level.

Properties
energy of formation from the pure elements = -0.120 eV/atom
polymorph energy (0 for the lowest one) = 0 meV/atom
total magnetic moment = 0.00 μB per cell
DFT total energy = -3.27 eV per atom

Structure (POSCAR):
```
LiTbNdZn
1.0
3.693 0.000 0.000
0.000 3.693 0.000
0.000 0.000 7.428
Li Tb Nd Zn
1 1 1 1
Direct
0.000 0.000 0.000
0.500 0.500 0.258
0.500 0.500 0.724
0.000 0.000 0.479
```



Record 3
Below is a relaxed structure of AcYSe2, with properties calculated at the GGA-PBE level.

Properties
polymorph energy (0 for the lowest one) = 277 meV/atom
E_form (uncorrected) = -6.1 eV per formula unit
total magnetic moment = 0.00 μB per cell
DFT total energy = -5.92 eV per atom

Structure (POSCAR):
```
AcYSe2
1.0
0.000 3.714 3.714
3.714 0.000 3.714
3.714 3.714 0.000
Ac Y Se
1 1 2
Direct
0.000 0.000 0.000
0.500 0.500 0.500
0.250 0.250 0.250
0.750 0.750 0.750
```



Record 4
Below is a relaxed structure of KRb2Al3F12, with properties calculated at the GGA-PBE level.

Properties
E_form (uncorrected) = -60.6 eV per formula unit
total magnetic moment = 0.00 μB per cell
DFT total energy = -5.40 eV per atom

Structure (POSCAR):
```
KRb2Al3F12
1.0
3.582 2.068 6.120
-3.582 2.068 6.120
0.000 -4.136 6.120
K Rb Al F
1 2 3 12
Direct
0.000 0.000 0.000
0.377 0.377 0.377
0.623 0.623 0.623
0.000 0.000 0.500
0.000 0.500 0.000
0.500 0.000 0.000
0.093 0.718 0.718
0.112 0.112 0.563
0.112 0.563 0.112
0.282 0.282 0.907
0.282 0.907 0.282
0.437 0.888 0.888
0.563 0.112 0.112
0.718 0.093 0.718
0.718 0.718 0.093
0.888 0.437 0.888
0.888 0.888 0.437
0.907 0.282 0.282
```



Record 5
Below is a relaxed structure of CuTeAs2, with properties calculated at the GGA-PBE level.

Properties
E_form (uncorrected) = 1.9 eV per formula unit
total magnetic moment = 0.00 μB per cell
DFT total energy = -3.67 eV per atom

Structure (POSCAR):
```
CuTeAs2
1.0
-2.374 2.374 3.516
2.374 -2.374 3.516
2.374 2.374 -3.516
Cu Te As
1 1 2
Direct
0.000 0.000 0.000
0.250 0.750 0.500
0.500 0.500 0.000
0.750 0.250 0.500
```



Record 6
Below is a relaxed structure of SrAsW2, with properties calculated at the GGA-PBE level.

Properties
energy of formation from the pure elements = 0.927 eV/atom
total magnetic moment = 0.00 μB per cell
DFT total energy = -7.13 eV per atom

Structure (POSCAR):
```
SrAsW2
1.0
1.730 -2.415 0.000
1.730 2.415 0.000
0.000 0.000 9.347
Sr As W
1 1 2
Direct
0.000 0.000 0.000
0.000 0.000 0.500
0.500 0.500 0.297
0.500 0.500 0.703
```



Record 7
Below is a relaxed structure of HoNpSnHg, with properties calculated at the GGA-PBE level.

Properties
energy of formation from the pure elements = -0.157 eV/atom
total magnetic moment = 5.20 μB per cell
DFT total energy = -5.61 eV per atom

Structure (POSCAR):
```
HoNpSnHg
1.0
0.000 3.744 3.744
3.744 0.000 3.744
3.744 3.744 0.000
Ho Np Sn Hg
1 1 1 1
Direct
0.000 0.000 0.000
0.500 0.500 0.500
0.250 0.250 0.250
0.750 0.750 0.750
```



Record 8
Below is a relaxed structure of K5AuI4, with properties calculated at the GGA-PBE level.

Properties
E_form (uncorrected) = -12.3 eV per formula unit
total magnetic moment = 0.00 μB per cell
DFT total energy = -2.73 eV per atom

Structure (POSCAR):
```
K5AuI4
1.0
-2.513 2.513 17.748
2.513 -2.513 17.748
2.513 2.513 -17.748
K Au I
5 1 4
Direct
0.000 0.000 0.000
0.200 0.200 0.000
0.402 0.402 0.000
0.598 0.598 0.000
0.800 0.800 0.000
0.500 0.500 0.000
0.099 0.099 0.000
0.301 0.301 0.000
0.699 0.699 0.000
0.901 0.901 0.000
```



Which value of DFT total energy does entry 2 give?
-3.27 eV per atom



Which formula does entry 8 have?
K5AuI4